Computed, not measured: Ti5Co after structural relaxation at the PBE level of DFT.

Cell lengths 7.2128, 7.2128, 3.0750 Å; angles 90.00, 90.00, 143.88 degrees
Atoms (fractional coordinates):
Ti: 0.0000 0.0000 0.0000
Ti: 0.1785 0.8215 0.5000
Ti: 0.3561 0.6439 0.0000
Ti: 0.6439 0.3561 0.0000
Ti: 0.8215 0.1785 0.5000
Co: 0.5000 0.5000 0.5000

Computed properties:
**ΔE to the lowest computed polymorph**: 0.00 kcal/mol of atoms
**Formation energy**: -0.11 eV/atom
**DOS(E_F)**: 8.68 states/eV/f.u.
**DFT total energy**: -47.237 eV/cell